Record 1
The following is a GGA-PBE calculation of an optimized crystal structure of LiTaZnPt, from Alexandria via LeMat-Bulk.

Cell lengths 4.3713, 4.3713, 4.3713 Å; angles 60.00, 60.00, 60.00 degrees
Last column: nearest neighbours and their distance in Å.
Atoms (fractional coordinates):
Ta1 0.0000 0.0000 0.0000  4 Li 2.68, 4 Pt 2.68
Pt1 0.7500 0.7500 0.7500  4 Ta 2.68, 4 Zn 2.68
Zn1 0.5000 0.5000 0.5000  4 Li 2.68, 4 Pt 2.68
Li1 0.2500 0.2500 0.2500  4 Ta 2.68, 4 Zn 2.68

Properties
Calculated formation energy, meV per atom: -443
Magnetization, Bohr magnetons per cell: 0.00
Total DFT energy (no corrections), eV per atom: -5.713
V, A^3/atom: 14.8

***

Record 2
The following is a GGA-PBE calculation of an optimized crystal structure of LiZr2TaPt, from Alexandria via LeMat-Bulk.

Cell lengths 4.7361, 4.0969, 4.7361 Å; angles 90.00, 90.00, 90.00 degrees
Last column: nearest neighbours and their distance in Å.
Atoms (fractional coordinates):
Pt1 0.0000 0.5000 0.0000  2 Li 2.05
Zr1 0.0000 0.0000 0.5000  2 Li 2.37
Zr2 0.5000 0.0000 0.0000  2 Li 2.37
Li1 0.0000 0.0000 0.0000  2 Pt 2.05
Ta1 0.5000 0.5000 0.5000  8 Zr 3.13, 4 Pt 3.35

Properties
Calculated formation energy, meV per atom: 464
Magnetization, Bohr magnetons per cell: 0.00
Total DFT energy (no corrections), eV per atom: -6.916
V, A^3/atom: 18.4

***

Record 3
The following is a GGA-PBE calculation of an optimized crystal structure of LiTbPt, from Alexandria via LeMat-Bulk.

Cell lengths 4.6170, 4.6170, 4.6170 Å; angles 60.00, 60.00, 60.00 degrees
Last column: nearest neighbours and their distance in Å.
Atoms (fractional coordinates):
Tb1 0.0000 0.0000 0.0000  4 Pt 2.83
Li1 0.5000 0.5000 0.5000  4 Pt 2.83
Pt1 0.2500 0.2500 0.2500  4 Li 2.83, 4 Tb 2.83

Properties
Calculated formation energy, meV per atom: -723
Magnetization, Bohr magnetons per cell: 0.00
E above lowest polymorph, kcal/mol of atoms: 3.612
Total DFT energy (no corrections), eV per atom: -4.918
V, A^3/atom: 23.2

***

Record 4
The following is a GGA-PBE calculation of an optimized crystal structure of LiTbPt, from Alexandria via LeMat-Bulk.

Cell lengths 3.7112, 4.2868, 4.2868 Å; angles 120.00, 90.00, 90.00 degrees
Last column: nearest neighbours and their distance in Å.
Atoms (fractional coordinates):
Tb1 0.6666 0.6667 0.3333  6 Pt 3.09, 6 Li 3.09
Pt1 0.1670 0.3333 0.6667  3 Li 2.47
Li1 0.1664 0.0000 0.0000  3 Pt 2.47

Properties
Calculated formation energy, meV per atom: -751
Magnetization, Bohr magnetons per cell: 0.00
E above lowest polymorph, kcal/mol of atoms: 2.967
Total DFT energy (no corrections), eV per atom: -4.946
V, A^3/atom: 19.7

***

Record 5
The following is a GGA-PBE calculation of an optimized crystal structure of LiTbPt, from Alexandria via LeMat-Bulk.

Cell lengths 4.0387, 7.1687, 7.1687 Å; angles 120.00, 90.00, 90.00 degrees
Last column: nearest neighbours and their distance in Å.
Atoms (fractional coordinates):
Pt1 0.5000 0.0000 0.0000  6 Li 2.63, 3 Tb 2.92
Pt2 0.0000 0.3333 0.6667  3 Li 2.80, 6 Tb 2.97
Pt3 0.0000 0.6667 0.3333  3 Li 2.80, 6 Tb 2.97
Li1 0.0000 0.2359 0.0000  4 Pt 2.63-2.80, 2 Li 2.93
Li2 0.0000 0.7641 0.7641  4 Pt 2.63-2.80, 2 Li 2.93
Li3 0.0000 0.0000 0.2359  4 Pt 2.63-2.80, 2 Li 2.93
Tb1 0.5000 0.0000 0.5931  5 Pt 2.92-2.97, 6 Li 3.24-3.26
Tb2 0.5000 0.4069 0.4069  5 Pt 2.92-2.97, 6 Li 3.24-3.26
Tb3 0.5000 0.5931 0.0000  5 Pt 2.92-2.97, 6 Li 3.24-3.26

Properties
Calculated formation energy, meV per atom: -880
Magnetization, Bohr magnetons per cell: 0.00
E above lowest polymorph, kcal/mol of atoms: 0.000
Total DFT energy (no corrections), eV per atom: -5.074
V, A^3/atom: 20.0

***

Record 6
The following is a GGA-PBE calculation of an optimized crystal structure of Li3TbPt3, from Alexandria via LeMat-Bulk.

Cell lengths 6.3661, 6.3661, 6.3661 Å; angles 90.00, 90.00, 90.00 degrees
Last column: nearest neighbours and their distance in Å.
Atoms (fractional coordinates):
Li1 0.5000 0.0000 0.2500  4 Pt 2.25
Li2 0.5000 0.0000 0.7500  4 Pt 2.25
Li3 0.7500 0.5000 0.0000  4 Pt 2.25
Li4 0.0000 0.2500 0.5000  4 Pt 2.25
Li5 0.2500 0.5000 0.0000  4 Pt 2.25
Li6 0.0000 0.7500 0.5000  4 Pt 2.25
Tb1 0.5000 0.5000 0.5000  12 Pt 3.56, 12 Li 3.56
Tb2 0.0000 0.0000 0.0000  12 Li 3.56, 12 Pt 3.56
Pt1 0.5000 0.2500 0.0000  4 Li 2.25
Pt2 0.5000 0.7500 0.0000  4 Li 2.25
Pt3 0.7500 0.0000 0.5000  4 Li 2.25
Pt4 0.0000 0.5000 0.7500  4 Li 2.25
Pt5 0.0000 0.5000 0.2500  4 Li 2.25
Pt6 0.2500 0.0000 0.5000  4 Li 2.25

Properties
Calculated formation energy, meV per atom: -8
Magnetization, Bohr magnetons per cell: 0.00
Total DFT energy (no corrections), eV per atom: -4.079
V, A^3/atom: 18.4